Entry from the Alexandria database: a geometry-optimized Y2TeBr structure (PBE).

Summary:
The total magnetization is 2.97 μB per cell. For the uncorrected formation energy, the calculation gives -0.320 eV/atom. As for the density of states at the Fermi level: 2.8 states/eV per cell.

Cell: 5.478 5.478 5.478 Å, 60.00 60.00 60.00°
Each line ends with the local moment (μB).
Sites, in units of the cell vectors:
Y  0.000  0.000  0.000  0.83
Y  0.250  0.250  0.250  0.90
Te  0.750  0.750  0.750  -0.10
Br  0.500  0.500  0.500  0.01